YInIr: single point on PBEsol structure, SCAN.

Output
The total energy is -43.995 eV/atom. The calculation puts the formation energy at 11 kJ per mole of atoms.

Unit cell a=4.677 b=4.677 c=4.677 alpha=60.00 beta=60.00 gamma=60.00
Fractional coordinates of all 3 atoms:
In (0.000, 0.000, 0.000)
Ir (0.500, 0.500, 0.500)
Y (0.250, 0.250, 0.250)


Zr2InIr: single point on PBEsol structure, SCAN.

Output
The total energy is -41.915 eV/atom. The calculation puts the formation energy at -43 kJ per mole of atoms.

Unit cell a=4.730 b=4.730 c=4.730 alpha=60.00 beta=60.00 gamma=60.00
Site moments in Bohr magnetons follow the coordinates.
Fractional coordinates of all 4 atoms:
In (0.500, 0.500, 0.500)  -0.02
Ir (0.750, 0.750, 0.750)  -0.07
Zr (0.000, 0.000, 0.000)  0.46
Zr (0.250, 0.250, 0.250)  0.99


Zr2InIr: single point on PBEsol structure, SCAN.

Output
The total energy is -41.934 eV/atom. The calculation puts the formation energy at -45 kJ per mole of atoms.

Unit cell a=3.466 b=3.466 c=8.513 alpha=78.25 beta=78.25 gamma=60.00
Fractional coordinates of all 4 atoms:
In (0.500, 0.500, 0.500)
Ir (0.000, 0.000, 0.000)
Zr (0.264, 0.264, 0.207)
Zr (0.736, 0.736, 0.793)


Zr2InIr: single point on PBEsol structure, SCAN.

Output
The total energy is -42.208 eV/atom. The calculation puts the formation energy at -71 kJ per mole of atoms.

Unit cell a=3.052 b=3.052 c=8.241 alpha=90.00 beta=90.00 gamma=90.00
Fractional coordinates of all 4 atoms:
Ir (0.500, 0.500, 0.500)
Zr (0.000, 0.000, 0.719)
Zr (0.000, 0.000, 0.281)
In (0.500, 0.500, 0.000)


KIn3: single point on PBEsol structure, SCAN.

Output
The total energy is -27.235 eV/atom. The calculation puts the formation energy at -11 kJ per mole of atoms.

Unit cell a=3.757 b=3.757 c=8.295 alpha=90.00 beta=90.00 gamma=90.13
Fractional coordinates of all 4 atoms:
K (0.500, 0.500, 0.500)
In (0.000, 0.000, 0.201)
In (0.500, 0.500, 0.000)
In (0.000, 0.000, 0.799)


KIn3: single point on PBEsol structure, SCAN.

Output
The total energy is -27.328 eV/atom. The calculation puts the formation energy at -20 kJ per mole of atoms.

Unit cell a=4.633 b=6.376 c=8.258 alpha=90.00 beta=90.00 gamma=90.00
Fractional coordinates of all 8 atoms:
In (0.500, 0.000, 0.238)
In (0.000, 0.500, 0.762)
In (0.000, 0.731, 0.120)
In (0.000, 0.269, 0.120)
In (0.500, 0.231, 0.880)
In (0.500, 0.769, 0.880)
K (0.000, 0.000, 0.572)
K (0.500, 0.500, 0.428)


KIn3: single point on PBEsol structure, SCAN.

Output
The total energy is -27.201 eV/atom. The calculation puts the formation energy at -8 kJ per mole of atoms.

Unit cell a=5.355 b=5.359 c=5.355 alpha=60.02 beta=90.00 gamma=119.98
Fractional coordinates of all 4 atoms:
In (0.250, 0.500, 0.250)
In (0.500, 0.000, 0.500)
In (0.750, 0.500, 0.750)
K (0.000, 0.000, 0.000)


KIn2: single point on PBEsol structure, SCAN.

Output
The total energy is -25.162 eV/atom. The calculation puts the formation energy at -12 kJ per mole of atoms.

Unit cell a=3.389 b=3.389 c=8.073 alpha=102.12 beta=102.12 gamma=90.00
Fractional coordinates of all 3 atoms:
In (0.320, 0.320, 0.641)
In (0.680, 0.680, 0.359)
K (0.000, 0.000, 0.000)


KIn2: single point on PBEsol structure, SCAN.

Output
The total energy is -25.252 eV/atom. The calculation puts the formation energy at -21 kJ per mole of atoms.

Unit cell a=6.278 b=6.278 c=6.278 alpha=60.00 beta=60.00 gamma=60.00
Fractional coordinates of all 6 atoms:
K (0.500, 0.500, 0.500)
K (0.750, 0.750, 0.750)
In (0.125, 0.125, 0.125)
In (0.125, 0.125, 0.625)
In (0.125, 0.625, 0.125)
In (0.625, 0.125, 0.125)


KIn: single point on PBEsol structure, SCAN.

Output
The total energy is -21.056 eV/atom. The calculation puts the formation energy at -19 kJ per mole of atoms.

Unit cell a=4.972 b=6.121 c=6.142 alpha=119.88 beta=113.87 gamma=90.00
Fractional coordinates of all 4 atoms:
K (0.601, 0.351, 0.202)
K (0.399, 0.649, 0.798)
In (0.178, 0.928, 0.355)
In (0.822, 0.072, 0.645)


KIn: single point on PBEsol structure, SCAN.

Output
The total energy is -21.007 eV/atom. The calculation puts the formation energy at -14 kJ per mole of atoms.

Unit cell a=4.102 b=6.973 c=8.380 alpha=109.44 beta=90.00 gamma=107.11
Fractional coordinates of all 6 atoms:
K (0.714, 0.427, 0.372)
K (0.002, 0.005, 0.550)
K (0.688, 0.376, 0.921)
In (0.001, 0.002, 0.030)
In (0.364, 0.727, 0.777)
In (0.398, 0.796, 0.183)


KIn: single point on PBEsol structure, SCAN.

Output
The total energy is -20.858 eV/atom. The calculation puts the formation energy at 0 kJ per mole of atoms.

Unit cell a=3.413 b=3.413 c=5.749 alpha=90.00 beta=90.00 gamma=95.99
Fractional coordinates of all 2 atoms:
K (0.500, 0.500, 0.500)
In (0.000, 0.000, 0.000)